Entry 1:
Compound: Tm2GaS
Source: Alexandria via LeMat-Bulk
Functional: PBE
Structure: relaxed

Lattice parameters (Å, degrees): 3.7038 3.7038 22.7410 90.00 90.00 120.00
Space group R3m (No. 160, hexagonal axes)
Symmetry-distinct sites (fractional):
Tm1 0.0000 0.0000 0.0000 (multiplicity 3)
Tm2 0.0000 0.0000 0.1880 (multiplicity 3)
Ga1 0.0000 0.0000 0.7608 (multiplicity 3)
S1 0.0000 0.0000 0.5924 (multiplicity 3)

Properties
**Raw formation energy**: -111.7 kJ/mol of atoms
**Total magnetization**: 0.00 μB per cell

---

Entry 2:
Compound: Tm2Ga2S7
Source: Alexandria via LeMat-Bulk
Functional: PBE
Structure: relaxed

Lattice parameters (Å, degrees): 7.8958 11.5812 6.5484 90.00 112.42 90.00
Space group C2/m (No. 12)
Symmetry-distinct sites (fractional):
Tm1 0.0000 0.1865 0.0000 (multiplicity 4)
Ga1 0.2376 0.5000 0.3580 (multiplicity 4)
S1 0.0000 0.5000 0.5000 (multiplicity 2)
S2 0.1728 0.0000 0.2599 (multiplicity 4)
S3 0.2283 0.1696 0.7808 (multiplicity 8)

Properties
**Raw formation energy**: -103.8 kJ/mol of atoms
**Total magnetization**: 0.00 μB per cell

---

Entry 3:
Compound: TmGaS3
Source: Alexandria via LeMat-Bulk
Functional: PBE
Structure: relaxed

Lattice parameters (Å, degrees): 6.4266 3.8380 11.0517 90.00 98.42 90.00
Space group P2_1/m (No. 11)
Symmetry-distinct sites (fractional):
Tm1 0.0166 0.2500 0.3397 (multiplicity 2)
Ga1 0.4402 0.2500 0.7641 (multiplicity 2)
S1 0.2112 0.7500 0.2358 (multiplicity 2)
S2 0.2230 0.2500 0.5716 (multiplicity 2)
S3 0.3131 0.7500 0.8500 (multiplicity 2)

Properties
**Raw formation energy**: -129.3 kJ/mol of atoms
**Total magnetization**: 0.00 μB per cell

---

Entry 4:
Compound: Tm3Ga5S12
Source: Alexandria via LeMat-Bulk
Functional: PBE
Structure: relaxed

Lattice parameters (Å, degrees): 14.9803 14.9803 14.9803 90.00 90.00 90.00
Space group Ia-3d (No. 230)
Symmetry-distinct sites (fractional):
Tm1 0.0000 0.2500 0.1250 (multiplicity 24)
Ga1 0.0000 0.0000 0.0000 (multiplicity 16)
Ga2 0.0000 0.2500 0.3750 (multiplicity 24)
S1 0.0254 0.0602 0.6510 (multiplicity 96)

Properties
**Raw formation energy**: -109.5 kJ/mol of atoms
**Total magnetization**: 0.00 μB per cell

---

- Which value of raw formation energy does entry 3 give?
  -129.3 kJ/mol of atoms